Here is a relaxed ReP2SO crystal from Alexandria. Energies are from PBE.

Values from the calculation:
DOS(E_F)	3.24	states/eV/f.u.
crystal system	tetragonal
SG	P4/mmm, No. 123
raw formation energy	0.875	eV/atom

abc: 4.640 4.640 4.408
angles: 90.00 90.00 90.00
Fractional positions:
Re 0.000 0.000 0.000
S 0.000 0.000 0.500
O 0.500 0.500 0.500
P 0.000 0.500 0.000
P 0.500 0.000 0.000

---

Here is a relaxed ScReP2O crystal from Alexandria. Energies are from PBE.

Values from the calculation:
DOS(E_F)	3.78	states/eV/f.u.
crystal system	tetragonal
SG	P4/mmm, No. 123
raw formation energy	0.461	eV/atom

abc: 4.985 4.985 3.781
angles: 90.00 90.00 90.00
Last column: magnetic moment on the atom in μB.
Fractional positions:
Sc 0.000 0.000 0.000  0.01
Re 0.500 0.500 0.500  2.94
O 0.000 0.000 0.500  -0.04
P 0.000 0.500 0.000  -0.17
P 0.500 0.000 0.000  -0.17

---

Here is a relaxed ScReP2O crystal from Alexandria. Energies are from PBE.

Values from the calculation:
DOS(E_F)	3.78	states/eV/f.u.
crystal system	tetragonal
SG	P4/mmm, No. 123
raw formation energy	-0.505	eV/atom

abc: 4.806 4.806 3.713
angles: 90.00 90.00 90.00
Fractional positions:
Sc 0.500 0.500 0.500
Re 0.000 0.000 0.000
O 0.000 0.000 0.500
P 0.000 0.500 0.000
P 0.500 0.000 0.000

---

Here is a relaxed ReP2SeO crystal from Alexandria. Energies are from PBE.

Values from the calculation:
DOS(E_F)	4.04	states/eV/f.u.
crystal system	tetragonal
SG	P4/mmm, No. 123
raw formation energy	1.072	eV/atom

abc: 4.713 4.713 3.536
angles: 90.00 90.00 90.00
Last column: magnetic moment on the atom in μB.
Fractional positions:
Re 0.500 0.500 0.500  1.57
O 0.000 0.000 0.500  0.02
Se 0.000 0.000 0.000  0.01
P 0.000 0.500 0.000  -0.07
P 0.500 0.000 0.000  -0.07

---

Here is a relaxed Re2PSeO crystal from Alexandria. Energies are from PBE.

Values from the calculation:
DOS(E_F)	8.18	states/eV/f.u.
crystal system	tetragonal
SG	P4/mmm, No. 123
raw formation energy	1.836	eV/atom

abc: 4.433 4.690 4.433
angles: 90.00 90.00 90.00
Last column: magnetic moment on the atom in μB.
Fractional positions:
Re 0.000 0.000 0.500  0.90
Re 0.500 0.000 0.000  0.92
O 0.500 0.500 0.500  -0.05
Se 0.000 0.500 0.000  -0.06
P 0.000 0.000 0.000  -0.02

---

Here is a relaxed ReP2SeO crystal from Alexandria. Energies are from PBE.

Values from the calculation:
DOS(E_F)	1.85	states/eV/f.u.
crystal system	tetragonal
SG	P4/mmm, No. 123
raw formation energy	-0.051	eV/atom

abc: 4.764 4.764 3.746
angles: 90.00 90.00 90.00
Fractional positions:
Re 0.000 0.000 0.000
O 0.000 0.000 0.500
Se 0.500 0.500 0.500
P 0.000 0.500 0.000
P 0.500 0.000 0.000

---

Here is a relaxed ReSiPO2 crystal from Alexandria. Energies are from PBE.

Values from the calculation:
DOS(E_F)	2.87	states/eV/f.u.
crystal system	tetragonal
SG	P4/mmm, No. 123
raw formation energy	-0.494	eV/atom

abc: 3.328 7.231 3.328
angles: 90.00 90.00 90.00
Last column: magnetic moment on the atom in μB.
Fractional positions:
Re 0.500 0.500 0.500  0.91
Si 0.000 0.000 0.000  0.00
O 0.000 0.000 0.500  0.01
O 0.500 0.000 0.000  0.01
P 0.000 0.500 0.000  -0.01

---

Here is a relaxed ReSiPO2 crystal from Alexandria. Energies are from PBE.

Values from the calculation:
DOS(E_F)	2.97	states/eV/f.u.
crystal system	tetragonal
SG	P4/mmm, No. 123
raw formation energy	-0.455	eV/atom

abc: 3.779 3.779 5.133
angles: 90.00 90.00 90.00
Fractional positions:
Re 0.000 0.000 0.000
Si 0.500 0.500 0.500
O 0.000 0.500 0.000
O 0.500 0.000 0.000
P 0.000 0.000 0.500

---

Here is a relaxed SrRePO2 crystal from Alexandria. Energies are from PBE.

Values from the calculation:
DOS(E_F)	2.93	states/eV/f.u.
crystal system	tetragonal
SG	P4/mmm, No. 123
raw formation energy	-1.179	eV/atom

abc: 4.032 4.032 4.799
angles: 90.00 90.00 90.00
Last column: magnetic moment on the atom in μB.
Fractional positions:
Re 0.000 0.000 0.000  0.07
O 0.000 0.500 0.000  0.01
O 0.500 0.000 0.000  0.01
P 0.000 0.000 0.500  0.00
Sr 0.500 0.500 0.500  0.00

---

Here is a relaxed SrReP2O crystal from Alexandria. Energies are from PBE.

Values from the calculation:
DOS(E_F)	2.61	states/eV/f.u.
crystal system	tetragonal
SG	P4/mmm, No. 123
raw formation energy	-0.660	eV/atom

abc: 4.875 4.875 3.861
angles: 90.00 90.00 90.00
Fractional positions:
Re 0.000 0.000 0.000
O 0.000 0.000 0.500
P 0.000 0.500 0.000
P 0.500 0.000 0.000
Sr 0.500 0.500 0.500

---

Here is a relaxed SrReP2O crystal from Alexandria. Energies are from PBE.

Values from the calculation:
DOS(E_F)	4.92	states/eV/f.u.
crystal system	tetragonal
SG	P4/mmm, No. 123
raw formation energy	0.517	eV/atom

abc: 4.334 4.481 4.334
angles: 90.00 90.00 90.00
Last column: magnetic moment on the atom in μB.
Fractional positions:
Re 0.500 0.500 0.500  1.26
O 0.000 0.000 0.000  -0.01
P 0.000 0.000 0.500  -0.04
P 0.500 0.000 0.000  -0.06
Sr 0.000 0.500 0.000  0.00

---

Here is a relaxed SrRePO2 crystal from Alexandria. Energies are from PBE.

Values from the calculation:
DOS(E_F)	3.13	states/eV/f.u.
crystal system	tetragonal
SG	P4/mmm, No. 123
raw formation energy	0.910	eV/atom

abc: 4.069 4.069 6.469
angles: 90.00 90.00 90.00
Last column: magnetic moment on the atom in μB.
Fractional positions:
Re 0.500 0.500 0.500  3.26
O 0.000 0.500 0.000  0.20
O 0.500 0.000 0.000  0.20
P 0.000 0.000 0.500  -0.19
Sr 0.000 0.000 0.000  0.01

---

> What is the formula in the seventh record?

ReSiPO2